Below is a geometry-optimized MgMoCl2 structure, with properties calculated at the PBE level.

Lattice parameters (Å, degrees): 3.1585 3.1585 30.0468 90.00 90.00 120.00
Space group R-3m (No. 166, hexagonal axes)
Symmetry-distinct sites (fractional):
Mg (0.0000, 0.0000, 0.0000) (multiplicity 3)
Mo (0.0000, 0.0000, 0.5000) (multiplicity 3)
Cl (0.0000, 0.0000, 0.2240) (multiplicity 6)

Output
energy relative to the lowest polymorph listed for this composition = 174.5 meV/atom
uncorrected formation energy = -0.8 eV/f.u.
E_tot = -4.2364 eV/atom